[1]
# RbAlC (PBE, optimized geometry)
data_RbAlC
_chemical_formula_sum 'Rb2 Al2 C2'
_space_group_name_H-M_alt 'P 1'
_space_group_IT_number 1
_cell_length_a 5.972
_cell_length_b 5.972
_cell_length_c 7.215
_cell_angle_alpha 90.00
_cell_angle_beta 90.00
_cell_angle_gamma 120.00
loop_
_space_group_symop_operation_xyz
'x,y,z'
loop_
_atom_site_label
_atom_site_fract_x
_atom_site_fract_y
_atom_site_fract_z
_atom_site_occupancy
Rb1 0.667 0.333 0.750 1
C1 0.000 0.000 0.500 1
Al1 0.000 0.000 0.750 1
Al2 0.000 0.000 0.250 1
Rb2 0.333 0.667 0.250 1
C2 0.000 0.000 0.000 1
# raw total energy	-3.835	eV per atom
# density of states at the Fermi level	0.0	states/eV/cell


[2]
# Rb2AlC (PBE, optimized geometry)
data_Rb2AlC
_chemical_formula_sum 'Rb4 Al2 C2'
_space_group_name_H-M_alt 'P 1'
_space_group_IT_number 1
_cell_length_a 13.157
_cell_length_b 13.157
_cell_length_c 9.491
_cell_angle_alpha 46.12
_cell_angle_beta 46.12
_cell_angle_gamma 90.00
loop_
_space_group_symop_operation_xyz
'x,y,z'
loop_
_atom_site_label
_atom_site_fract_x
_atom_site_fract_y
_atom_site_fract_z
_atom_site_occupancy
Rb1 0.334 0.625 0.250 1
Rb2 0.875 0.666 0.750 1
Al1 0.000 0.000 0.000 1
C1 0.500 0.500 0.000 1
Rb3 0.416 0.125 0.250 1
C2 0.250 0.750 0.500 1
Rb4 0.375 0.584 0.750 1
Al2 0.750 0.250 0.500 1
# raw total energy	-3.146	eV per atom
# polymorph energy (0 for the lowest one)	0	meV per atom
# density of states at the Fermi level	3.8	states/eV/cell


[3]
# RbAlC (PBE, optimized geometry)
data_RbAlC
_chemical_formula_sum 'Rb2 Al2 C2'
_space_group_name_H-M_alt 'P 1'
_space_group_IT_number 1
_cell_length_a 5.178
_cell_length_b 6.242
_cell_length_c 6.242
_cell_angle_alpha 116.53
_cell_angle_beta 90.00
_cell_angle_gamma 90.00
loop_
_space_group_symop_operation_xyz
'x,y,z'
loop_
_atom_site_label
_atom_site_fract_x
_atom_site_fract_y
_atom_site_fract_z
_atom_site_occupancy
C1 0.500 0.287 0.327 1
Rb1 0.500 0.746 0.254 1
Rb2 0.000 0.054 0.946 1
Al1 0.752 0.413 0.587 1
Al2 0.248 0.413 0.587 1
C2 0.500 0.673 0.713 1
# raw total energy	-3.783	eV per atom
# density of states at the Fermi level	0.0	states/eV/cell


[4]
# RbAlC (PBE, optimized geometry)
data_RbAlC
_chemical_formula_sum 'Rb2 Al2 C2'
_space_group_name_H-M_alt 'P 1'
_space_group_IT_number 1
_cell_length_a 6.142
_cell_length_b 4.782
_cell_length_c 7.104
_cell_angle_alpha 87.05
_cell_angle_beta 113.97
_cell_angle_gamma 111.60
loop_
_space_group_symop_operation_xyz
'x,y,z'
loop_
_atom_site_label
_atom_site_fract_x
_atom_site_fract_y
_atom_site_fract_z
_atom_site_occupancy
Rb1 0.461 0.758 0.465 1
Al1 0.021 0.506 0.791 1
Al2 0.214 0.092 0.783 1
C1 0.410 0.229 0.125 1
Rb2 0.800 0.936 0.123 1
C2 0.273 0.385 0.031 1
# raw total energy	-4.241	eV per atom
# density of states at the Fermi level	0.0	states/eV/cell


- The highest density of states at the Fermi level belongs to which entry?
  Rb2AlC


- Which value of raw total energy does entry 2 give?
  -3.146 eV per atom


- Among the records above, which one has the highest raw total energy?
  Rb2AlC


- Number 4 is which compound?
  RbAlC